(1)
Compound: RbErCd2F8
Source: Alexandria
Functional: GGA-PBE
Structure: optimized geometry

CIF file:
```
data_RbErCd2F8
_cell_length_a 4.051
_cell_length_b 5.999
_cell_length_c 8.297
_cell_angle_alpha 82.91
_cell_angle_beta 86.88
_cell_angle_gamma 78.98
_symmetry_space_group_name_H-M 'P -1'
_symmetry_Int_Tables_number 2
loop_
_symmetry_equiv_pos_as_xyz
'x,y,z'
'-x,-y,-z'
loop_
_atom_site_label
_atom_site_fract_x
_atom_site_fract_y
_atom_site_fract_z
Rb1 0.000 0.000 0.000
Er1 0.000 0.000 0.500
Cd1 0.397 0.451 0.221
F1 0.057 0.740 0.733
F2 0.103 0.765 0.314
F3 0.399 0.313 0.975
F4 0.441 0.203 0.455
```

Values from the calculation:
Crystal system = triclinic
Size of the total moment = 0.09 Bohr magnetons per cell
Formation energy (no corrections) = -2.91 eV per atom
Calculated volume = 16.357 Å³ per atom

---

(2)
Compound: Nd8Tm2Sc
Source: Alexandria
Functional: GGA-PBE
Structure: optimized geometry

CIF file:
```
data_Nd8Tm2Sc
_cell_length_a 5.712
_cell_length_b 7.969
_cell_length_c 16.319
_cell_angle_alpha 90.00
_cell_angle_beta 90.00
_cell_angle_gamma 90.00
_symmetry_space_group_name_H-M 'I m m m'
_symmetry_Int_Tables_number 71
_symmetry_space_group_name_Hall '-I 2 2'
loop_
_atom_site_label
_atom_site_fract_x
_atom_site_fract_y
_atom_site_fract_z
Nd1 0.000 0.000 0.169
Nd2 0.000 0.208 0.369
Nd3 0.000 0.281 0.000
Tm1 0.000 0.500 0.199
Sc1 0.000 0.500 0.500
```

Values from the calculation:
Crystal system = orthorhombic
E_form = 2.59 kcal/mol of atoms
Size of the total moment = 0.00 Bohr magnetons per cell
Calculated volume = 33.765 Å³ per atom
Energy above the lowest structure with this stoichiometry = 0.0 meV per atom

---

(3)
Compound: CsTe2H6O2
Source: Alexandria
Functional: GGA-PBE
Structure: optimized geometry

CIF file:
```
data_CsTe2H6O2
_cell_length_a 5.628
_cell_length_b 6.767
_cell_length_c 6.770
_cell_angle_alpha 114.01
_cell_angle_beta 102.01
_cell_angle_gamma 104.98
_symmetry_space_group_name_H-M 'P -1'
_symmetry_Int_Tables_number 2
loop_
_symmetry_equiv_pos_as_xyz
'x,y,z'
'-x,-y,-z'
loop_
_atom_site_label
_atom_site_fract_x
_atom_site_fract_y
_atom_site_fract_z
Cs1 0.000 0.000 0.000
Te1 0.270 0.781 0.487
H1 0.189 0.380 0.708
H2 0.364 0.597 0.690
H3 0.494 0.397 0.693
O1 0.383 0.493 0.768
```

Values from the calculation:
Crystal system = triclinic
Size of the total moment = 0.00 Bohr magnetons per cell
Energy = -3.95 eV per atom
Calculated volume = 19.334 Å³ per atom